(1)
This record from Alexandria describes Al2SbH after structural relaxation. The functional is PBE.

Calculated values
Its excess energy over the best structure of this formula in the dataset is 0.0000 eV/atom. Its space group is I-42d. For the total moment, the calculation gives 0.00 μB/cell. The calculation puts the total energy at -3.528 eV/atom.

abc: 4.695 4.695 7.670
angles: 72.18 72.18 90.00
Fractional positions:
1 H 0.500 0.500 0.000
2 Al 0.249 0.625 0.250
3 H 0.250 0.750 0.500
4 Al 0.501 0.125 0.250
5 Sb 0.000 0.000 0.000
6 Al 0.875 0.751 0.750
7 Al 0.375 0.499 0.750
8 Sb 0.750 0.250 0.500

(2)
This record from Alexandria describes TaBeC3 after structural relaxation. The functional is PBE.

Calculated values
As for the formation energy: 2.2163 eV per atom. Its excess energy over the best structure of this formula in the dataset is 0.5266 eV/atom. Its space group is Pm-3m. For the total moment, the calculation gives 0.00 μB/cell. The calculation puts the total energy at -6.434 eV/atom.

abc: 4.158 4.158 4.158
angles: 90.00 90.00 90.00
Fractional positions:
1 C 0.000 0.500 0.000
2 C 0.000 0.000 0.500
3 Ta 0.000 0.000 0.000
4 Be 0.500 0.500 0.500
5 C 0.500 0.000 0.000

(3)
This record from Alexandria describes Cr2B4Mo after structural relaxation. The functional is PBE.

Calculated values
As for the formation energy: -0.4452 eV per atom. Its space group is Immm. For the total moment, the calculation gives 0.00 μB/cell. The calculation puts the total energy at -8.558 eV/atom.

abc: 2.998 3.041 6.933
angles: 102.67 102.49 90.00
Fractional positions:
1 Cr 0.186 0.186 0.372
2 B 0.930 0.430 0.859
3 B 0.645 0.645 0.290
4 B 0.070 0.570 0.141
5 Mo 0.500 0.000 0.000
6 B 0.355 0.355 0.710
7 Cr 0.814 0.814 0.628

(4)
This record from Alexandria describes La2Sm2Au3 after structural relaxation. The functional is PBE.

Calculated values
As for the formation energy: -0.6365 eV per atom. Its space group is I2_13. For the total moment, the calculation gives 0.00 μB/cell. The calculation puts the total energy at -4.797 eV/atom.

abc: 7.997 7.997 7.997
angles: 109.47 109.47 109.47
Fractional positions:
1 Au 0.613 0.750 0.863
2 La 0.500 0.357 0.500
3 Sm 0.500 0.863 0.500
4 La 0.000 0.000 0.357
5 Au 0.137 0.387 0.250
6 La 0.643 0.143 0.143
7 Au 0.887 0.250 0.637
8 La 0.857 0.500 0.000
9 Sm 0.000 0.000 0.863
10 Au 0.750 0.637 0.387
11 Au 0.363 0.113 0.750
12 Sm 0.363 0.500 0.000
13 Au 0.250 0.863 0.113
14 Sm 0.137 0.637 0.637

(5)
This record from Alexandria describes Rb2LiNbI6 after structural relaxation. The functional is PBE.

Calculated values
Its space group is Fm-3m. The calculation puts the formation energy without anion corrections at -0.95 eV/atom. For the total moment, the calculation gives 2.00 μB/cell. The calculation puts the total energy at -3.268 eV/atom.

abc: 8.273 8.273 8.274
angles: 60.00 60.00 90.00
Fractional positions:
1 Rb 0.750 0.250 0.500
2 Nb 0.000 0.000 0.000
3 I 0.245 0.755 0.000
4 I 0.755 0.755 0.490
5 Rb 0.250 0.750 0.500
6 I 0.755 0.755 0.000
7 I 0.755 0.245 0.000
8 I 0.245 0.245 0.510
9 Li 0.500 0.500 0.000
10 I 0.245 0.245 0.000

(6)
This record from Alexandria describes Pr8Ir3SBr4 after structural relaxation. The functional is PBE.

Calculated values
Its space group is R-3m. The calculation puts the formation energy without anion corrections at -1.19 eV/atom. For the total moment, the calculation gives 0.00 μB/cell. The calculation puts the total energy at -5.922 eV/atom.

abc: 8.459 9.143 8.459
angles: 117.55 120.00 90.00
Fractional positions:
1 Br 0.500 0.000 0.500
2 Ir 0.500 0.500 0.500
3 Ir 0.500 0.500 0.000
4 Ir 0.000 0.500 0.500
5 Br 0.000 0.000 0.500
6 S 0.000 0.500 0.000
7 Pr 0.279 0.302 0.041
8 Br 0.500 0.000 0.000
9 Pr 0.721 0.698 0.959
10 Pr 0.761 0.302 0.041
11 Pr 0.761 0.302 0.523
12 Pr 0.732 0.695 0.463
13 Pr 0.239 0.698 0.959
14 Pr 0.268 0.305 0.537
15 Pr 0.239 0.698 0.477
16 Br 0.000 0.000 0.000

(7)
This record from Alexandria describes Cr2SbPb after structural relaxation. The functional is PBE.

Calculated values
Its excess energy over the best structure of this formula in the dataset is 0.2268 eV/atom. Its space group is R-3m. The calculation puts the formation energy without anion corrections at 0.51 eV/atom. For the total moment, the calculation gives 7.01 μB/cell. The calculation puts the total energy at -6.263 eV/atom.

abc: 8.247 8.247 8.247
angles: 24.90 24.90 24.90
Fractional positions:
1 Sb 0.750 0.750 0.750
2 Cr 0.494 0.494 0.494
3 Cr 0.006 0.006 0.006
4 Pb 0.250 0.250 0.250

(8)
This record from Alexandria describes Fe2OsRh after structural relaxation. The functional is PBE.

Calculated values
As for the formation energy: 0.1127 eV per atom. Its excess energy over the best structure of this formula in the dataset is 0.0301 eV/atom. Its space group is R3m. For the total moment, the calculation gives 5.28 μB/cell. The calculation puts the total energy at -8.764 eV/atom.

abc: 8.506 8.506 8.506
angles: 18.30 18.30 18.30
Fractional positions:
1 Fe 0.252 0.252 0.252
2 Os 0.504 0.504 0.504
3 Rh 0.747 0.747 0.747
4 Fe 0.997 0.997 0.997

(9)
This record from Alexandria describes ScCo2Rh after structural relaxation. The functional is PBE.

Calculated values
As for the formation energy: -0.0654 eV per atom. Its space group is P2/m. For the total moment, the calculation gives 3.37 μB/cell. The calculation puts the total energy at -7.039 eV/atom.

abc: 4.377 2.797 4.737
angles: 79.20 90.00 90.00
Fractional positions:
1 Sc 0.500 0.750 0.750
2 Co 0.000 0.461 0.488
3 Rh 0.500 0.250 0.250
4 Co 0.000 0.039 0.012

(10)
This record from Alexandria describes Tm3Tl4Cd2 after structural relaxation. The functional is PBE.

Calculated values
As for the formation energy: -0.1889 eV per atom. Its space group is C2/m. For the total moment, the calculation gives 0.00 μB/cell. The calculation puts the total energy at -2.934 eV/atom.

abc: 4.928 6.215 9.378
angles: 115.70 90.00 113.36
Fractional positions:
1 Tl 0.684 0.368 0.033
2 Tl 0.032 0.064 0.358
3 Tm 0.657 0.314 0.677
4 Tm 0.343 0.686 0.323
5 Cd 0.340 0.680 0.666
6 Cd 0.660 0.320 0.334
7 Tm 0.000 0.000 0.000
8 Tl 0.968 0.936 0.642
9 Tl 0.316 0.632 0.967

(11)
This record from Alexandria describes MgTa3 after structural relaxation. The functional is PBE.

Calculated values
As for the formation energy: 0.2931 eV per atom. Its excess energy over the best structure of this formula in the dataset is 0.1572 eV/atom. Its space group is Pmmn. For the total moment, the calculation gives 0.00 μB/cell. The calculation puts the total energy at -8.995 eV/atom.

abc: 4.847 5.213 5.935
angles: 90.00 90.00 90.00
Fractional positions:
1 Mg 0.000 0.654 0.000
2 Ta 0.500 0.843 0.255
3 Ta 0.500 0.843 0.745
4 Ta 0.500 0.312 0.000
5 Ta 0.000 0.688 0.500
6 Ta 0.000 0.157 0.755
7 Mg 0.500 0.346 0.500
8 Ta 0.000 0.157 0.245

(12)
This record from Alexandria describes Hf2Nb2Cd after structural relaxation. The functional is PBE.

Calculated values
As for the formation energy: 0.1913 eV per atom. Its space group is P4/mbm. For the total moment, the calculation gives 0.00 μB/cell. The calculation puts the total energy at -8.001 eV/atom.

abc: 7.428 7.428 3.840
angles: 90.00 90.00 90.00
Fractional positions:
1 Hf 0.831 0.331 0.500
2 Nb 0.873 0.627 0.000
3 Hf 0.331 0.169 0.500
4 Cd 0.500 0.500 0.000
5 Nb 0.127 0.373 0.000
6 Hf 0.169 0.669 0.500
7 Cd 0.000 0.000 0.000
8 Nb 0.373 0.873 0.000
9 Nb 0.627 0.127 0.000
10 Hf 0.669 0.831 0.500